Density functional theory data (PBE) for an optimized crystal structure of Fe3ReRh6.

The structure in CIF format:
```
data_Fe3ReRh6
_cell_length_a 8.397
_cell_length_b 3.828
_cell_length_c 8.537
_cell_angle_alpha 90.00
_cell_angle_beta 91.23
_cell_angle_gamma 90.00
_space_group_name_H-M_alt 'P 1 21/m 1'
_space_group_IT_number 11
loop_
_space_group_symop_operation_xyz
'x,y,z'
'-x,-y,-z'
'-x,y+1/2,-z'
'x,-y+1/2,z'
loop_
_atom_site_label
_atom_site_type_symbol
_atom_site_fract_x
_atom_site_fract_y
_atom_site_fract_z
_atom_site_occupancy
Fe1 Fe 0.050 0.250 0.397 1
Fe2 Fe 0.148 0.750 0.197 1
Fe3 Fe 0.247 0.250 0.997 1
Re1 Re 0.449 0.250 0.598 1
Rh1 Rh 0.048 0.750 0.900 1
Rh2 Rh 0.145 0.250 0.695 1
Rh3 Rh 0.248 0.750 0.497 1
Rh4 Rh 0.347 0.750 0.799 1
Rh5 Rh 0.349 0.250 0.298 1
Rh6 Rh 0.445 0.750 0.100 1
```

Calculated values
As for the energy: -8.24 eV per atom. Its mass density is 11.8 g/cm3. As for the formation enthalpy at 0 K: -0.05 eV per atom. As for the density of states at the Fermi level: 23.0 states/eV/cell.